(1)
Entry from Alexandria via LeMat-Bulk: a geometry-optimized Ca2CuP structure (GGA-PBE).

Lattice parameters (Å, degrees): 7.0917 7.0917 7.0917 35.22 35.22 35.22
Last column: nearest neighbours and their distance in Å.
Sites, in units of the cell vectors:
1 Ca 0.2371 0.2371 0.2371  3 P 2.85, 3 Cu 3.13
2 Ca 0.7629 0.7629 0.7629  3 P 2.85, 3 Cu 3.13
3 Cu 0.0000 0.0000 0.0000  6 Ca 3.13
4 P 0.5000 0.5000 0.5000  6 Ca 2.85

## Properties
DOS at the Fermi energy, states/eV/atom: 0.03
ΔH_f (0 K), eV/atom: -0.524
Uncorrected energy, eV/atom: -3.9010

---

(2)
Entry from Alexandria via LeMat-Bulk: a geometry-optimized CaCu5P2 structure (GGA-PBE).

Lattice parameters (Å, degrees): 5.9283 5.9283 5.9283 141.86 110.62 82.03
Last column: nearest neighbours and their distance in Å.
Sites, in units of the cell vectors:
1 Ca 0.0000 0.0000 0.0000  4 P 2.93, 8 Cu 3.18
2 Cu 0.1660 0.3498 0.8162  3 P 2.30-2.48, 1 Cu 2.48
3 Cu 0.4664 0.6502 0.8162  3 P 2.30-2.48, 1 Cu 2.48
4 Cu 0.5000 0.0000 0.5000  2 P 2.28
5 Cu 0.5336 0.3498 0.1838  3 P 2.30-2.48, 1 Cu 2.48
6 Cu 0.8340 0.6502 0.1838  3 P 2.30-2.48, 1 Cu 2.48
7 P 0.2456 0.7456 0.5000  7 Cu 2.28-2.48
8 P 0.7544 0.2544 0.5000  7 Cu 2.28-2.48

## Properties
DOS at the Fermi energy, states/eV/atom: 0.25
ΔH_f (0 K), eV/atom: -0.342
Uncorrected energy, eV/atom: -4.5044

---

(3)
Entry from Alexandria via LeMat-Bulk: a geometry-optimized CaCu2P structure (GGA-PBE).

Lattice parameters (Å, degrees): 5.6881 5.6881 2.9798 105.10 105.10 122.05
Last column: nearest neighbours and their distance in Å.
Sites, in units of the cell vectors:
1 Ca 0.0000 0.0000 0.0000  4 P 2.76, 4 Cu 2.85, 2 Ca 2.98
2 Cu 0.0000 0.5000 0.5000  6 Cu 2.76-2.98, 2 Ca 2.85, 2 P 2.85
3 Cu 0.5000 0.0000 0.5000  6 Cu 2.76-2.98, 2 Ca 2.85, 2 P 2.85
4 P 0.5000 0.5000 0.0000  4 Ca 2.76, 4 Cu 2.85, 2 P 2.98

## Properties
DOS at the Fermi energy, states/eV/atom: 0.37
ΔH_f (0 K), eV/atom: 0.073
Uncorrected energy, eV/atom: -3.8279

---

(4)
Entry from Alexandria via LeMat-Bulk: a geometry-optimized CaCuP structure (GGA-PBE).

Lattice parameters (Å, degrees): 4.0031 4.0803 6.9776 90.00 90.00 90.00
Last column: nearest neighbours and their distance in Å.
Sites, in units of the cell vectors:
1 Ca 0.0000 0.0000 0.0000  4 Cu 3.04, 8 P 3.09
2 Ca 0.5000 0.0000 0.5000  4 P 3.09, 8 Cu 3.11
3 Cu 0.0000 0.5000 0.3237  2 P 2.28, 1 Cu 2.46
4 Cu 0.0000 0.5000 0.6763  2 P 2.28, 1 Cu 2.46
5 P 0.5000 0.5000 0.1678  2 Cu 2.28, 1 P 2.34
6 P 0.5000 0.5000 0.8322  2 Cu 2.28, 1 P 2.34

## Properties
DOS at the Fermi energy, states/eV/atom: 0.20
ΔH_f (0 K), eV/atom: -0.673
Uncorrected energy, eV/atom: -4.5085

---

(5)
Entry from Alexandria via LeMat-Bulk: a geometry-optimized Ca2CuP structure (GGA-PBE).

Lattice parameters (Å, degrees): 4.9461 4.9461 4.9461 60.00 60.00 60.00
Last column: nearest neighbours and their distance in Å.
Sites, in units of the cell vectors:
1 Ca 0.0000 0.0000 0.0000  4 Ca 3.03, 4 P 3.03
2 Ca 0.2500 0.2500 0.2500  4 Ca 3.03, 4 Cu 3.03
3 Cu 0.5000 0.5000 0.5000  4 Ca 3.03, 4 P 3.03
4 P 0.7500 0.7500 0.7500  4 Ca 3.03, 4 Cu 3.03

## Properties
DOS at the Fermi energy, states/eV/atom: 0.89
ΔH_f (0 K), eV/atom: 0.026
Uncorrected energy, eV/atom: -3.3511

---

(6)
Entry from Alexandria via LeMat-Bulk: a geometry-optimized CaCuP structure (GGA-PBE).

Lattice parameters (Å, degrees): 5.6877 5.6877 5.6877 138.62 103.01 91.40
Last column: nearest neighbours and their distance in Å.
Sites, in units of the cell vectors:
1 Ca 0.2451 0.2451 0.0000  6 Cu 3.06, 6 P 3.07-3.08
2 Ca 0.7549 0.7549 0.0000  6 Cu 3.06, 6 P 3.07-3.08
3 Cu 0.1762 0.5000 0.6762  2 P 2.30, 1 Cu 2.49
4 Cu 0.8238 0.5000 0.3238  2 P 2.30, 1 Cu 2.49
5 P 0.3346 0.0000 0.3346  2 Cu 2.30, 1 P 2.34
6 P 0.6654 0.0000 0.6654  2 Cu 2.30, 1 P 2.34

## Properties
DOS at the Fermi energy, states/eV/atom: 0.02
ΔH_f (0 K), eV/atom: -0.686
Uncorrected energy, eV/atom: -4.5215

---

(7)
Entry from Alexandria via LeMat-Bulk: a geometry-optimized CaCu3P2 structure (GGA-PBE).

Lattice parameters (Å, degrees): 7.6062 7.6062 7.0476 113.99 113.99 29.77
Last column: nearest neighbours and their distance in Å.
Sites, in units of the cell vectors:
1 Ca 0.1510 0.1510 0.0670  7 P 2.95-3.08, 7 Cu 3.12-3.30
2 Ca 0.8490 0.8490 0.9330  7 P 2.95-3.08, 7 Cu 3.12-3.30
3 Cu 0.0461 0.0461 0.3753  3 P 2.34-2.36
4 Cu 0.3142 0.3142 0.5628  2 P 2.33-2.38, 3 Cu 2.55-2.60
5 Cu 0.4028 0.4028 0.3206  3 P 2.32-2.38, 1 Cu 2.55
6 Cu 0.5972 0.5972 0.6794  3 P 2.32-2.38, 1 Cu 2.55
7 Cu 0.6858 0.6858 0.4372  2 P 2.33-2.38, 3 Cu 2.55-2.60
8 Cu 0.9539 0.9539 0.6247  3 P 2.34-2.36
9 P 0.1924 0.1924 0.6922  4 Cu 2.33-2.38
10 P 0.4818 0.4818 0.8248  1 P 2.30, 4 Cu 2.32-2.38
11 P 0.5182 0.5182 0.1752  1 P 2.30, 4 Cu 2.32-2.38
12 P 0.8076 0.8076 0.3078  4 Cu 2.33-2.38

## Properties
DOS at the Fermi energy, states/eV/atom: 0.18
ΔH_f (0 K), eV/atom: -0.495
Uncorrected energy, eV/atom: -4.6799

---

(8)
Entry from Alexandria via LeMat-Bulk: a geometry-optimized CaCu2P structure (GGA-PBE).

Lattice parameters (Å, degrees): 2.9806 3.5069 6.4021 90.00 90.00 90.00
Last column: nearest neighbours and their distance in Å.
Sites, in units of the cell vectors:
1 Ca 0.0000 0.0000 0.0000  2 Ca 2.98, 4 P 3.03, 6 Cu 3.10-3.31
2 Cu 0.0000 0.0000 0.5164  4 P 2.56, 4 Cu 2.61
3 Cu 0.5000 0.5000 0.3245  1 P 2.35, 4 Cu 2.61
4 P 0.5000 0.5000 0.6919  5 Cu 2.35-2.56

## Properties
DOS at the Fermi energy, states/eV/atom: 0.40
ΔH_f (0 K), eV/atom: -0.106
Uncorrected energy, eV/atom: -4.0073

---

Question: What is the DOS at the Fermi energy in the first record?
Answer: 0.03 states/eV/atom

---

Question: What is the ΔH_f (0 K) in the fourth record?
Answer: -0.673 eV/atom

---

Question: Among the records above, which one has the highest uncorrected energy?
Answer: number 5